A relaxed structure of LiFeCl2. Source: the Alexandria database, functional GGA-PBE.

```
LiFeCl2
1.0
-0.530 -4.443 -0.365
1.075 -2.679 3.438
-3.232 -2.074 2.325
Fe Cl Li
1 2 1
direct
0.500 0.500 0.500 Fe
0.750 0.750 0.750 Cl
0.250 0.250 0.250 Cl
0.000 0.000 0.000 Li
```

* raw formation energy: -204 kJ/mol of formula units
* space group: Fm-3m (225)
* electronic total energy: -4.0461 eV per atom
* M_tot: 3.0 μB/cell